No. 1
A relaxed SrPrPt crystal. Source: the Alexandria database, functional PBE-GGA.

Output
Polymorph energy (0 for the lowest one) ... 39.8 meV per atom
Formation enthalpy at 0 K ... -677 meV per atom
Total moment ... 0.00 μB per atom
Crystal system ... triclinic
Energy ... -4.844 eV per atom

Cell lengths 3.9591, 7.3627, 7.7416 Å; angles 111.83, 104.77, 90.06 degrees
Last column: nearest neighbours and their distance in Å.
Positions (direct):
Sr 0.2205 0.2508 0.4407  3 Pt 3.13-3.24
Sr 0.7795 0.7492 0.5593  3 Pt 3.13-3.24
Pr 0.4824 0.2562 0.9659  4 Pt 2.99-3.05
Pr 0.5176 0.7438 0.0341  4 Pt 2.99-3.05
Pt 0.1073 0.5482 0.2148  4 Pr 2.99-3.05, 1 Pt 3.01, 3 Sr 3.13-3.24
Pt 0.8927 0.4518 0.7852  4 Pr 2.99-3.05, 1 Pt 3.01, 3 Sr 3.13-3.24

***

No. 2
A relaxed SrPrPt crystal. Source: the Alexandria database, functional PBE-GGA.

Output
Polymorph energy (0 for the lowest one) ... 52.7 meV per atom
Formation enthalpy at 0 K ... -664 meV per atom
Total moment ... 0.00 μB per atom
Crystal system ... trigonal
Energy ... -4.831 eV per atom

Cell lengths 4.3090, 4.3090, 6.9608 Å; angles 90.00, 90.00, 120.00 degrees
Last column: nearest neighbours and their distance in Å.
Positions (direct):
Sr 0.0000 0.0000 0.0000  3 Pt 3.07
Pr 0.6667 0.3333 0.4638  3 Pt 2.87
Pt 0.3333 0.6667 0.2595  3 Pr 2.87, 3 Sr 3.07

***

No. 3
A relaxed SrPr3Pt2 crystal. Source: the Alexandria database, functional PBE-GGA.

Output
Formation enthalpy at 0 K ... -746 meV per atom
Total moment ... 0.00 μB per atom
Crystal system ... orthorhombic
Energy ... -5.430 eV per atom

Cell lengths 4.9865, 9.1409, 7.6920 Å; angles 90.00, 90.00, 90.00 degrees
Last column: nearest neighbours and their distance in Å.
Positions (direct):
Sr 0.0000 0.0797 0.0000  3 Pt 3.10-3.34
Sr 0.0000 0.9203 0.5000  3 Pt 3.10-3.34
Pr 0.0000 0.3385 0.6325  4 Pt 2.97-3.04
Pr 0.0000 0.6615 0.1325  4 Pt 2.97-3.04
Pr 0.5000 0.1736 0.3460  4 Pt 2.96-3.24
Pr 0.5000 0.4157 0.9792  3 Pt 2.97-3.29
Pr 0.5000 0.5843 0.4792  3 Pt 2.97-3.29
Pr 0.5000 0.8264 0.8460  4 Pt 2.96-3.24
Pt 0.0000 0.3481 0.2470  6 Pr 2.97-3.29, 1 Sr 3.10
Pt 0.0000 0.6519 0.7470  6 Pr 2.97-3.29, 1 Sr 3.10
Pt 0.5000 0.1679 0.7304  5 Pr 2.96-3.24
Pt 0.5000 0.8321 0.2304  5 Pr 2.96-3.24

***

No. 4
A relaxed SrPrTlPt crystal. Source: the Alexandria database, functional PBE-GGA.

Output
Formation enthalpy at 0 K ... -527 meV per atom
Total moment ... 0.00 μB per atom
Crystal system ... cubic
Energy ... -4.244 eV per atom

Cell lengths 7.6368, 7.6368, 7.6368 Å; angles 90.00, 90.00, 90.00 degrees
Last column: nearest neighbours and their distance in Å.
Positions (direct):
Sr 0.0000 0.0000 0.0000  4 Pt 3.31, 4 Tl 3.31
Sr 0.0000 0.5000 0.5000  4 Pt 3.31, 4 Tl 3.31
Sr 0.5000 0.0000 0.5000  4 Pt 3.31, 4 Tl 3.31
Sr 0.5000 0.5000 0.0000  4 Pt 3.31, 4 Tl 3.31
Pr 0.0000 0.0000 0.5000  4 Tl 3.31, 4 Pt 3.31
Pr 0.0000 0.5000 0.0000  4 Tl 3.31, 4 Pt 3.31
Pr 0.5000 0.0000 0.0000  4 Tl 3.31, 4 Pt 3.31
Pr 0.5000 0.5000 0.5000  4 Tl 3.31, 4 Pt 3.31
Tl 0.2500 0.2500 0.2500  4 Sr 3.31, 4 Pr 3.31
Tl 0.2500 0.7500 0.7500  4 Sr 3.31, 4 Pr 3.31
Tl 0.7500 0.2500 0.7500  4 Sr 3.31, 4 Pr 3.31
Tl 0.7500 0.7500 0.2500  4 Sr 3.31, 4 Pr 3.31
Pt 0.2500 0.2500 0.7500  4 Pr 3.31, 4 Sr 3.31
Pt 0.2500 0.7500 0.2500  4 Pr 3.31, 4 Sr 3.31
Pt 0.7500 0.2500 0.2500  4 Pr 3.31, 4 Sr 3.31
Pt 0.7500 0.7500 0.7500  4 Pr 3.31, 4 Sr 3.31